3
Lattice="3.383 0.000 0.000 0.000 3.383 0.000 -1.691 -1.691 7.828" Properties=species:S:1:pos:R:3 comment="SmThPa, relaxed, DFT PBE-GGA" relative_energy_mev_per_atom=0 formation_enthalpy_0k_ev_per_atom=0.169 space_group="I4mm, No. 107" pbc="T T T"
Th 1.691 1.691 2.743
Sm 1.691 1.691 7.726
Pa 0.000 0.000 5.187

7
Lattice="-3.795 -1.130 2.536 -2.464 -0.608 -3.959 5.313 -6.849 0.538" Properties=species:S:1:pos:R:3 comment="La2Tm2Ge2C, relaxed, DFT PBE-GGA" formation_enthalpy_0k_ev_per_atom=-0.743 space_group="I4/mmm, No. 139" pbc="T T T"
Ge -2.564 -2.871 -0.756
Tm -1.898 -0.565 1.268
Ge 1.617 -5.717 -0.128
C 0.000 0.000 0.000
La 0.727 -2.569 -0.058
La -1.673 -6.019 -0.827
Tm -1.232 -0.304 -1.979

15
Lattice="4.748 0.000 0.000 0.000 4.748 0.000 0.000 0.000 18.190" Properties=species:S:1:pos:R:3 comment="In8Sn3Hg4, relaxed, DFT PBE-GGA" formation_enthalpy_0k_ev_per_atom=0.041 space_group="P-4m2, No. 115" pbc="T T T"
Sn 0.000 0.000 0.000
In 2.374 0.000 2.001
In 0.000 2.374 16.189
Sn 0.000 0.000 9.095
In 0.000 2.374 6.764
Hg 2.374 0.000 16.210
In 0.000 0.000 13.841
Hg 2.374 0.000 6.654
Hg 0.000 2.374 1.980
In 2.374 2.374 4.338
In 0.000 0.000 4.350
In 2.374 2.374 13.852
Hg 0.000 2.374 11.536
In 2.374 0.000 11.427
Sn 2.374 2.374 9.095

10
Lattice="-0.455 5.536 -1.240 -1.844 -3.907 -3.705 -8.629 0.205 4.078" Properties=species:S:1:pos:R:3 comment="La3CdO, relaxed, DFT PBE-GGA" relative_energy_mev_per_atom=433 space_group="P6_3/mmc, No. 194" e_form_raw_kj_per_mol_fu=-422 pbc="T T T"
La -2.109 -0.742 -2.539
Cd -7.853 -0.606 0.175
La -8.819 2.576 1.672
La -6.472 0.153 3.058
O 0.000 0.000 0.000
Cd -3.075 2.439 -1.043
La -4.967 -0.675 -1.189
La -2.157 0.051 1.019
O -4.315 0.102 2.039
La -5.961 2.508 0.321